#one
DFT (GGA-PBE) results for ReH3O5 after structural relaxation.

Calculated values
M_tot = 0.0 μB per cell

```
data_ReH3O5
_chemical_formula_sum 'Re2 H6 O10'
_cell_length_a 6.411
_cell_length_b 6.610
_cell_length_c 7.021
_cell_angle_alpha 63.68
_cell_angle_beta 64.35
_cell_angle_gamma 86.31
_symmetry_space_group_name_H-M 'P 1'
_symmetry_Int_Tables_number 1
_symmetry_space_group_name_Hall 'P 1'
loop_
_atom_site_label
_atom_site_type_symbol
_atom_site_fract_x
_atom_site_fract_y
_atom_site_fract_z
_atom_site_occupancy
Re1 Re 0.000 0.000 0.000 1
Re2 Re 0.274 0.743 0.506 1
H1 H 0.387 0.520 0.164 1
H2 H 0.428 0.486 0.924 1
H3 H 0.455 0.271 0.159 1
H4 H 0.547 0.101 0.650 1
H5 H 0.792 0.187 0.643 1
H6 H 0.813 0.145 0.414 1
O1 O 0.264 0.625 0.330 1
O2 O 0.292 0.979 0.834 1
O3 O 0.379 0.559 0.706 1
O4 O 0.450 0.015 0.323 1
O5 O 0.473 0.443 0.059 1
O6 O 0.713 0.193 0.541 1
O7 O 0.832 0.731 0.166 1
O8 O 0.891 0.186 0.804 1
O9 O 0.989 0.107 0.194 1
O10 O 0.991 0.776 0.669 1
```

---

#two
DFT (GGA-PBE) results for ReH3O5 after structural relaxation.

Calculated values
M_tot = 0.1 μB per cell

```
data_ReH3O5
_chemical_formula_sum 'Re2 H6 O10'
_cell_length_a 6.508
_cell_length_b 6.563
_cell_length_c 7.034
_cell_angle_alpha 62.26
_cell_angle_beta 68.74
_cell_angle_gamma 87.37
_symmetry_space_group_name_H-M 'P -1'
_symmetry_Int_Tables_number 2
_symmetry_space_group_name_Hall '-P 1'
loop_
_atom_site_label
_atom_site_type_symbol
_atom_site_fract_x
_atom_site_fract_y
_atom_site_fract_z
_atom_site_occupancy
Re1 Re 0.153 0.381 0.248 1
H1 H 0.263 0.165 0.911 1
H2 H 0.314 0.142 0.666 1
H3 H 0.331 0.915 0.908 1
O1 O 0.113 0.588 0.601 1
O2 O 0.130 0.248 0.087 1
O3 O 0.271 0.202 0.447 1
O4 O 0.319 0.656 0.058 1
O5 O 0.351 0.093 0.810 1
```

---

Stability ranking, top and bottom: #two is the most stable and #one is the least stable.